The following is a PBE calculation of a relaxed structure of HgIF2, from Alexandria via LeMat-Bulk.

```
data_HgIF2
_chemical_formula_sum 'Hg2 I2 F4'
_symmetry_space_group_name_H-M 'P 1'
_symmetry_Int_Tables_number 1
_cell_length_a 3.609
_cell_length_b 8.139
_cell_length_c 6.106
_cell_angle_alpha 90.00
_cell_angle_beta 90.00
_cell_angle_gamma 102.83
loop_
_symmetry_equiv_pos_as_xyz
'x,y,z'
loop_
_atom_site_label
_atom_site_type_symbol
_atom_site_fract_x
_atom_site_fract_y
_atom_site_fract_z
Hg1 Hg 0.706 0.412 0.250
Hg2 Hg 0.294 0.588 0.750
I1 I 0.502 0.004 0.250
I2 I 0.498 0.996 0.750
F1 F 0.179 0.359 0.491
F2 F 0.821 0.641 0.509
F3 F 0.821 0.641 0.991
F4 F 0.179 0.359 0.009
```

Computed properties:
**Formation energy without anion corrections**: -97.36 kJ per mole of atoms
**E above lowest polymorph**: 0.00 eV per formula unit
**M_tot**: 0.0 μB/f.u.
**Symmetry**: Cmcm